Here is an optimized crystal structure of TaMoRu from Alexandria via LeMat-Bulk. Energies are from PBE.

The energy relative to the lowest polymorph listed for this composition is 0 meV/atom. The calculation puts the energy relative to the elements at -0.198 eV/atom. For the size of the total moment, the calculation gives 0.000 μB per atom.

It has space group Cmmm (No. 65), with a = 4.4175 Å, b = 13.6483 Å, c = 3.1706 Å, α = 90.00°, β = 90.00° and γ = 90.00°. The distinct sites, in fractional coordinates, are Ta at (0.0000, 0.1613, 0.0000), Mo at (0.0000, 0.0000, 0.5000), Mo at (0.0000, 0.5000, 0.0000) and Ru at (0.0000, 0.3278, 0.5000).

=====

Here is an optimized crystal structure of TaMoRu5 from Alexandria via LeMat-Bulk. Energies are from PBE.

The calculation puts the energy relative to the elements at 0.213 eV/atom. For the size of the total moment, the calculation gives 0.000 μB per atom.

It has space group P4/mmm (No. 123), with a = 4.2413 Å, b = 4.2413 Å, c = 6.1862 Å, α = 90.00°, β = 90.00° and γ = 90.00°. The distinct sites, in fractional coordinates, are Ta at (0.0000, 0.0000, 0.0000), Mo at (0.5000, 0.5000, 0.5000), Ru at (0.0000, 0.5000, 0.2742) and Ru at (0.5000, 0.5000, 0.0000).

=====

Here is an optimized crystal structure of TaMo2Ru from Alexandria via LeMat-Bulk. Energies are from PBE.

The energy relative to the lowest polymorph listed for this composition is 102 meV/atom. The calculation puts the energy relative to the elements at -0.022 eV/atom. For the size of the total moment, the calculation gives 0.000 μB per atom.

It has space group P2/m (No. 10), with a = 2.7904 Å, b = 4.4985 Å, c = 5.1793 Å, α = 90.00°, β = 101.42° and γ = 90.00°. The distinct sites, in fractional coordinates, are Ta at (0.0000, 0.0000, 0.0000), Mo at (0.2417, 0.5000, 0.7513) and Ru at (0.5000, 0.0000, 0.5000).

=====

Here is an optimized crystal structure of TaMo2Ru from Alexandria via LeMat-Bulk. Energies are from PBE.

The energy relative to the lowest polymorph listed for this composition is 74 meV/atom. The calculation puts the energy relative to the elements at -0.050 eV/atom. For the size of the total moment, the calculation gives 0.000 μB per atom.

It has space group C2/m (No. 12), with a = 5.3933 Å, b = 8.9665 Å, c = 2.7857 Å, α = 90.00°, β = 109.12° and γ = 90.00°. The distinct sites, in fractional coordinates, are Ta at (0.0000, 0.0000, 0.0000), Mo at (0.2500, 0.2500, 0.5000) and Ru at (0.0000, 0.5000, 0.0000).

=====

Here is an optimized crystal structure of TaMoRu from Alexandria via LeMat-Bulk. Energies are from PBE.

The energy relative to the lowest polymorph listed for this composition is 86 meV/atom. The calculation puts the energy relative to the elements at -0.111 eV/atom. For the size of the total moment, the calculation gives 0.000 μB per atom.

It has space group Cmmm (No. 65), with a = 3.1729 Å, b = 13.8583 Å, c = 4.3741 Å, α = 90.00°, β = 90.00° and γ = 90.00°. The distinct sites, in fractional coordinates, are Ta at (0.0000, 0.1648, 0.0000), Mo at (0.0000, 0.0000, 0.5000), Mo at (0.0000, 0.5000, 0.0000) and Ru at (0.0000, 0.3393, 0.5000).

=====

Here is an optimized crystal structure of TaMoRu4 from Alexandria via LeMat-Bulk. Energies are from PBE.

The calculation puts the energy relative to the elements at 0.134 eV/atom. For the size of the total moment, the calculation gives 0.000 μB per atom.

It has space group F-43m (No. 216), with a = 7.1764 Å, b = 7.1764 Å, c = 7.1764 Å, α = 90.00°, β = 90.00° and γ = 90.00°. The distinct sites, in fractional coordinates, are Ta at (0.0000, 0.0000, 0.0000), Mo at (0.2500, 0.2500, 0.2500) and Ru at (0.1249, 0.1249, 0.6249).

=====

Here is an optimized crystal structure of TaMo2Ru from Alexandria via LeMat-Bulk. Energies are from PBE.

The energy relative to the lowest polymorph listed for this composition is 73 meV/atom. The calculation puts the energy relative to the elements at -0.051 eV/atom. For the size of the total moment, the calculation gives 0.000 μB per atom.

It has space group Imm2 (No. 44), with a = 3.1584 Å, b = 4.5538 Å, c = 8.8697 Å, α = 90.00°, β = 90.00° and γ = 90.00°. The distinct sites, in fractional coordinates, are Ta at (0.0000, 0.0000, 0.0000), Mo at (0.0000, 0.0000, 0.4912), Mo at (0.0000, 0.5000, 0.7510) and Ru at (0.0000, 0.5000, 0.2478).

=====

Here is an optimized crystal structure of TaMoRu from Alexandria via LeMat-Bulk. Energies are from PBE.

The energy relative to the lowest polymorph listed for this composition is 47 meV/atom. The calculation puts the energy relative to the elements at -0.151 eV/atom. For the size of the total moment, the calculation gives 0.000 μB per atom.

It has space group P-3m1 (No. 164), with a = 4.5112 Å, b = 4.5112 Å, c = 5.4256 Å, α = 90.00°, β = 90.00° and γ = 120.00°. The distinct sites, in fractional coordinates, are Ta at (0.3333, 0.6667, 0.3319), Mo at (0.0000, 0.0000, 0.0000), Mo at (0.0000, 0.0000, 0.5000) and Ru at (0.3333, 0.6667, 0.8338).

=====

Here is an optimized crystal structure of TaMoRu from Alexandria via LeMat-Bulk. Energies are from PBE.

The energy relative to the lowest polymorph listed for this composition is 137 meV/atom. The calculation puts the energy relative to the elements at -0.060 eV/atom. For the size of the total moment, the calculation gives 0.000 μB per atom.

It has space group Cm (No. 8), with a = 10.0203 Å, b = 3.1848 Å, c = 3.1849 Å, α = 90.00°, β = 108.51° and γ = 90.00°. The distinct sites, in fractional coordinates, are Ta at (0.0000, 0.0000, 0.0000), Mo at (0.3352, 0.0000, 0.3369) and Ru at (0.1639, 0.5000, 0.6635).

=====

Here is an optimized crystal structure of Ta2MoRu from Alexandria via LeMat-Bulk. Energies are from PBE.

The energy relative to the lowest polymorph listed for this composition is 158 meV/atom. The calculation puts the energy relative to the elements at -0.218 eV/atom. For the size of the total moment, the calculation gives 0.000 μB per atom.

It has space group Imm2 (No. 44), with a = 3.2057 Å, b = 4.4805 Å, c = 9.1771 Å, α = 90.00°, β = 90.00° and γ = 90.00°. The distinct sites, in fractional coordinates, are Ta at (0.0000, 0.0000, 0.0000), Ta at (0.0000, 0.5000, 0.2435), Mo at (0.0000, 0.5000, 0.7431) and Ru at (0.0000, 0.0000, 0.4961).

=====

Here is an optimized crystal structure of TaMoRu from Alexandria via LeMat-Bulk. Energies are from PBE.

The energy relative to the lowest polymorph listed for this composition is 194 meV/atom. The calculation puts the energy relative to the elements at -0.004 eV/atom. For the size of the total moment, the calculation gives 0.000 μB per atom.

It has space group Fmm2 (No. 42), with a = 3.1732 Å, b = 4.6044 Å, c = 13.1337 Å, α = 90.00°, β = 90.00° and γ = 90.00°. The distinct sites, in fractional coordinates, are Ta at (0.0000, 0.0000, 0.0000), Mo at (0.0000, 0.0000, 0.6722) and Ru at (0.0000, 0.0000, 0.3345).

=====

Here is an optimized crystal structure of Ta2MoRu from Alexandria via LeMat-Bulk. Energies are from PBE.

The energy relative to the lowest polymorph listed for this composition is 543 meV/atom. The calculation puts the energy relative to the elements at 0.167 eV/atom. For the size of the total moment, the calculation gives 0.000 μB per atom.

It has space group R3m (No. 160, hexagonal axes), with a = 2.9490 Å, b = 2.9490 Å, c = 26.9758 Å, α = 90.00°, β = 90.00° and γ = 120.00°. The distinct sites, in fractional coordinates, are Ta at (0.0000, 0.0000, 0.0000), Ta at (0.0000, 0.0000, 0.2434), Mo at (0.0000, 0.0000, 0.7544) and Ru at (0.0000, 0.0000, 0.4966).

=====

The records above give, respectively, E_tot values of -10.851; -9.654; -10.719; -10.747; -10.764; -9.830; -10.748; -10.804; -10.713; -11.171; -10.657; -10.786 eV/atom.